Entry 1:
MnVGa2, relaxed, DFT PBE; total moment = 4.46 Bohr magnetons per cell; E_form = -0.020 eV per atom; Fermi-level density of states = 2.89 states/eV per cell
1.0
0.000 3.045 3.045
3.045 0.000 3.045
3.045 3.045 0.000
Ga V Mn
2 1 1
direct
0.250 0.250 0.250
0.750 0.750 0.750
0.000 0.000 0.000
0.500 0.500 0.500

---

Entry 2:
Mn2V2Ga, relaxed, DFT PBE; total moment = 0.00 Bohr magnetons per cell; E_form = -0.190 eV per atom; Fermi-level density of states = 7.09 states/eV per cell
1.0
-1.835 0.345 3.685
-4.245 -1.199 -2.002
-0.057 -6.288 0.560
V Mn Ga
4 4 2
direct
0.723 0.471 0.778
0.223 0.805 0.706
0.723 0.303 0.215
0.223 0.202 0.922
0.723 0.699 0.402
0.223 0.575 0.095
0.223 0.968 0.300
0.723 0.078 0.592
0.723 0.877 0.999
0.223 0.385 0.498

---

Entry 3:
MnVGa2, relaxed, DFT PBE; total moment = 3.85 Bohr magnetons per cell; E_form = 0.217 eV per atom; Fermi-level density of states = 3.58 states/eV per cell
1.0
6.815 0.000 0.000
0.000 6.815 0.000
3.407 3.407 2.636
Ga V Mn
4 2 2
direct
0.875 0.884 0.750
0.375 0.366 0.750
0.634 0.125 0.250
0.116 0.625 0.250
0.250 0.750 0.500
0.500 0.500 0.000
0.000 0.000 0.000
0.750 0.250 0.500

---

Entry 4:
MnV6Ga, relaxed, DFT PBE; total moment = 0.00 Bohr magnetons per cell; E_form = -0.172 eV per atom; Fermi-level density of states = 6.33 states/eV per cell
1.0
-1.318 -5.646 3.295
1.638 -5.884 -2.680
2.546 -3.710 1.406
V Ga Mn
6 1 1
direct
0.500 0.758 0.742
0.242 0.000 0.258
0.000 0.500 0.258
0.500 0.242 0.258
0.000 0.500 0.742
0.758 0.000 0.742
0.500 0.500 0.500
0.000 0.000 0.000

---

Entry 5:
Mn2V2Ga, relaxed, DFT PBE; total moment = 0.00 Bohr magnetons per cell; E_form = -0.201 eV per atom; Fermi-level density of states = 7.75 states/eV per cell
1.0
4.100 0.013 0.007
-0.015 4.847 -0.055
-0.007 -1.429 6.243
V Ga Mn
4 2 4
direct
0.223 0.022 0.819
0.723 0.514 0.301
0.723 0.357 0.895
0.223 0.421 0.601
0.223 0.843 0.402
0.723 0.941 0.095
0.223 0.625 0.983
0.223 0.257 0.207
0.723 0.743 0.688
0.723 0.147 0.514

---

Entry 6:
MnVGa2, relaxed, DFT PBE; total moment = 3.21 Bohr magnetons per cell; E_form = -0.147 eV per atom; Fermi-level density of states = 3.20 states/eV per cell
1.0
-1.278 -1.459 1.865
2.267 -1.368 0.483
1.952 5.126 5.350
V Ga Mn
1 2 1
direct
0.500 0.500 0.500
0.000 0.000 0.756
0.000 0.000 0.244
0.500 0.500 0.000

---

Entry 7:
MnV8Ga2, relaxed, DFT PBE; total moment = 0.00 Bohr magnetons per cell; E_form = -0.071 eV per atom; Fermi-level density of states = 10.42 states/eV per cell
1.0
4.248 0.000 0.000
0.000 5.722 0.088
-2.124 -2.371 6.143
V Ga Mn
8 2 1
direct
0.650 0.902 0.301
0.007 0.731 0.014
0.166 0.175 0.333
0.993 0.269 0.986
0.392 0.594 0.784
0.834 0.825 0.667
0.350 0.098 0.699
0.608 0.406 0.216
0.806 0.330 0.611
0.194 0.670 0.389
0.500 0.000 0.000

---

Entry 8:
Mn3V4Ga, relaxed, DFT PBE; total moment = 0.02 Bohr magnetons per cell; E_form = -0.181 eV per atom; Fermi-level density of states = 5.71 states/eV per cell
1.0
2.943 0.000 0.000
0.000 4.120 0.000
0.000 0.000 8.159
Ga Mn V
1 3 4
direct
0.500 0.500 0.000
0.500 0.000 0.249
0.500 0.000 0.751
0.500 0.500 0.500
0.000 0.000 0.000
0.000 0.000 0.500
0.000 0.500 0.737
0.000 0.500 0.263

---

The lowest Fermi-level density of states belongs to which entry?
number 1